# LiTbSm2 | Alexandria via LeMat-Bulk | PBE-GGA | relaxed
# DOS at the Fermi energy: 1.2585 states/eV/atom
# energy of formation: 0.168 eV/atom
# polymorph energy (0 for the lowest one): 101 meV per atom
# magnetic moment: 0.00 μB per formula unit
# crystal system: trigonal
data_LiTbSm2
_chemical_formula_sum 'Li3 Tb3 Sm6'
_space_group_name_H-M_alt 'R -3 m'
_space_group_IT_number 166
_space_group_name_Hall '-R 3 2"'
_cell_length_a 3.5020
_cell_length_b 3.5020
_cell_length_c 36.9643
_cell_angle_alpha 90.00
_cell_angle_beta 90.00
_cell_angle_gamma 120.00
loop_
_atom_site_label
_atom_site_fract_x
_atom_site_fract_y
_atom_site_fract_z
_atom_site_occupancy
Li1 0.0000 0.0000 0.0000 1
Tb1 0.0000 0.0000 0.5000 1
Sm1 0.0000 0.0000 0.0888 1